[1]
An optimized crystal structure of Cs3Ru2F8, computed with GGA-PBE.

Cell lengths 6.9099, 6.9099, 8.2562 Å; angles 65.26, 65.26, 60.00 degrees
Sites, in units of the cell vectors:
Cs: 0.0000 0.0000 0.0000
Cs: 0.2197 0.2197 0.3409
Cs: 0.7803 0.7803 0.6591
Ru: 0.4478 0.4478 0.6567
Ru: 0.5522 0.5522 0.3433
F: 0.3510 0.3510 0.9469
F: 0.6490 0.6490 0.0531
F: 0.2722 0.7828 0.6729
F: 0.7828 0.2722 0.6729
F: 0.2722 0.2722 0.6729
F: 0.2172 0.7278 0.3271
F: 0.7278 0.2172 0.3271
F: 0.7278 0.7278 0.3271

Computed properties:
E (eV per cell): -61.470
E_form (uncorrected) (eV per atom): -1.95
M_tot (μB/f.u.): 5.00
Space group: R-3m, No. 166
Fermi-level density of states (states/eV/atom): 0.61

[2]
An optimized crystal structure of Ac6Hg3Ir2N, computed with GGA-PBE.

Cell lengths 7.3365, 7.3365, 8.5982 Å; angles 98.30, 98.30, 120.05 degrees
Sites, in units of the cell vectors:
Ac: 0.9357 0.6207 0.8086
Ac: 0.7507 0.7507 0.1932
Ac: 0.0643 0.3793 0.1914
Ac: 0.6207 0.9357 0.8086
Ac: 0.2493 0.2493 0.8068
Ac: 0.3793 0.0643 0.1914
Hg: 0.1746 0.8254 0.5000
Hg: 0.8254 0.1746 0.5000
Hg: 0.5000 0.5000 0.5000
Ir: 0.3344 0.6656 0.0000
Ir: 0.6656 0.3344 0.0000
N: 0.0000 0.0000 0.0000

Computed properties:
E (eV per cell): -59.043
E_form (uncorrected) (eV per atom): -0.62
M_tot (μB/f.u.): 0.00
Space group: C2/m, No. 12
Fermi-level density of states (states/eV/atom): 0.74

[3]
An optimized crystal structure of ScInW2, computed with GGA-PBE.

Cell lengths 4.8116, 2.8669, 5.4485 Å; angles 81.00, 90.00, 90.00 degrees
Sites, in units of the cell vectors:
In: 0.5000 0.2500 0.2500
Sc: 0.5000 0.7500 0.7500
W: 0.0000 0.0507 0.9769
W: 0.0000 0.4493 0.5231

Computed properties:
E (eV per cell): -33.760
M_tot (μB/f.u.): 0.00
Space group: P2/m, No. 10
Fermi-level density of states (states/eV/atom): 0.52
Formation energy from the elements (eV per atom): 0.30

[4]
An optimized crystal structure of K2TmScS4, computed with GGA-PBE.

Cell lengths 3.9235, 6.7906, 7.6676 Å; angles 107.16, 90.00, 90.00 degrees
Sites, in units of the cell vectors:
K: 0.5000 0.0000 0.5000
K: 0.0000 0.5000 0.5000
Tm: 0.5000 0.5000 0.0000
Sc: 0.0000 0.0000 0.0000
S: 0.5000 0.2233 0.1938
S: 0.5000 0.7767 0.8062
S: 0.0000 0.2594 0.8023
S: 0.0000 0.7406 0.1977

Computed properties:
E (eV per cell): -44.043
E_form (uncorrected) (eV per atom): -1.82
M_tot (μB/f.u.): 0.00
Space group: P2/m, No. 10
Fermi-level density of states (states/eV/atom): 0.00

[5]
An optimized crystal structure of Cs2LiTiIr, computed with GGA-PBE.

Cell lengths 6.0801, 4.6577, 6.0801 Å; angles 90.00, 90.00, 90.00 degrees
Sites, in units of the cell vectors:
Cs: 0.0000 0.0000 0.5000
Cs: 0.5000 0.0000 0.0000
Ir: 0.0000 0.5000 0.0000
Li: 0.0000 0.0000 0.0000
Ti: 0.5000 0.5000 0.5000

Computed properties:
E (eV per cell): -13.291
M_tot (μB/f.u.): 0.21
Space group: P4/mmm, No. 123
Fermi-level density of states (states/eV/atom): 2.54
Formation energy from the elements (eV per atom): 1.42

[6]
An optimized crystal structure of CrFeAg2, computed with GGA-PBE.

Cell lengths 2.6828, 2.6828, 8.9127 Å; angles 90.00, 90.00, 111.68 degrees
Sites, in units of the cell vectors:
Ag: 0.0000 0.0000 0.9832
Ag: 0.5000 0.5000 0.2649
Cr: 0.0000 0.0000 0.5279
Fe: 0.5000 0.5000 0.7239

Computed properties:
E (eV per cell): -22.260
M_tot (μB/f.u.): 1.72
Space group: Cmm2, No. 35
Fermi-level density of states (states/eV/atom): 0.83
Formation energy from the elements (eV per atom): 0.38
Energy above the most stable polymorph in this dataset (eV per atom): 0.055